Ta2MnH2 | SCAN | single point on PBEsol structure

Results
As for the total magnetization: 0.00 μB per cell. The value obtained for the total DFT energy (no corrections) is -318.4 eV/cell.

Cell lengths 2.9674, 2.9674, 11.5412 Å; angles 90.00, 90.00, 90.00 degrees
Space group I4/mmm (No. 139)
Asymmetric unit:
Ta  0.0000  0.0000  0.1334 [4 per cell]
Mn  0.0000  0.0000  0.5000 [2 per cell]
H  0.0000  0.5000  0.2500 [4 per cell]